Entry from Alexandria via LeMat-Bulk: a relaxed ScFe2SiC crystal (PBE).

Energy relative to the elements, uncorrected: 0.9105 eV per atom
Total magnetic moment: 0.00 μB per formula unit
Density of states at the Fermi level: 1.751 states/eV/atom
Space group: P4/mmm

Cell and atoms, written as extended XYZ:
```
5
Lattice="-0.4971 0.0565 4.3035 0.2753 -3.6440 0.0796 4.2915 0.3350 0.4913" Properties=species:S:1:pos:R:3 pbc="T T T"
Fe -0.2486 0.0282 2.1518
Fe 2.1458 0.1675 0.2457
Si 0.0000 0.0000 0.0000
Sc 2.0349 -1.6263 2.4372
C 0.1377 -1.8220 0.0398
```